# 1
Material: Pm3Hg2Ir
Method: DFT, PBE
State: optimized geometry

Cell: 5.9418 8.0047 8.1666 Å, 104.16 111.33 90.00°
With the nearest neighbours (Å) after each atom.
Sites, in units of the cell vectors:
Pm1 0.4998 0.2500 0.0000  2 Ir 2.97
Pm2 0.5002 0.7500 0.0000  2 Ir 2.97
Pm3 0.1325 0.0663 0.2656  2 Ir 2.79, 2 Hg 3.09
Pm4 0.8670 0.4337 0.7344  2 Ir 2.79, 2 Hg 3.09
Pm5 0.1330 0.5663 0.2656  2 Ir 2.79, 2 Hg 3.09
Pm6 0.8675 0.9337 0.7344  2 Ir 2.79, 2 Hg 3.09
Hg1 0.6910 0.5959 0.3815  6 Pm 3.09-3.44
Hg2 0.6905 0.0959 0.3815  6 Pm 3.09-3.44
Hg3 0.3095 0.9041 0.6185  6 Pm 3.09-3.44
Hg4 0.3090 0.4041 0.6185  6 Pm 3.09-3.44
Ir1 0.0002 0.7500 0.0000  6 Pm 2.79-2.97
Ir2 0.9998 0.2500 0.0000  6 Pm 2.79-2.97

Values from the calculation:
Symmetry: Immm
Formation energy from the elements (eV/atom): -0.485
Energy above the lowest structure with this stoichiometry (meV per atom): 59

# 2
Material: MgCoSb2Te
Method: DFT, PBE
State: optimized geometry

Cell: 5.3111 5.3111 5.4308 Å, 90.00 90.00 90.00°
With the nearest neighbours (Å) after each atom.
Sites, in units of the cell vectors:
Sb1 0.0000 0.5000 0.0000  2 Mg 2.66
Sb2 0.5000 0.0000 0.0000  2 Mg 2.66
Mg1 0.0000 0.0000 0.0000  4 Sb 2.66, 2 Te 2.72
Te1 0.0000 0.0000 0.5000  2 Mg 2.72
Co1 0.5000 0.5000 0.5000  4 Te 3.76, 8 Sb 3.80

Values from the calculation:
Symmetry: P4/mmm
Formation energy from raw total energies (meV per atom): 1037.5
Energy above the lowest structure with this stoichiometry (meV per atom): 822

# 3
Material: AcCeNd2N4
Method: DFT, PBE
State: optimized geometry

Cell: 3.6933 6.4157 6.3795 Å, 109.25 90.00 90.00°
With the nearest neighbours (Å) after each atom.
Sites, in units of the cell vectors:
Ac1 0.5000 0.5000 0.0000  6 N 2.66-2.67
Ce1 0.0000 0.0000 0.0000  6 N 2.50-2.57
Nd1 0.5000 0.0000 0.5000  6 N 2.56-2.57
Nd2 0.0000 0.5000 0.5000  6 N 2.67-2.72
N1 0.5000 0.2358 0.2456  3 Nd 2.56-2.67, 2 Ce 2.57, 1 Ac 2.66
N2 0.5000 0.7642 0.7544  3 Nd 2.56-2.67, 2 Ce 2.57, 1 Ac 2.66
N3 0.0000 0.2295 0.7506  1 Ce 2.50, 3 Nd 2.57-2.72, 2 Ac 2.67
N4 0.0000 0.7705 0.2494  1 Ce 2.50, 3 Nd 2.57-2.72, 2 Ac 2.67

Values from the calculation:
Symmetry: P2/m
Formation energy from raw total energies (meV per atom): -1289.0